Version P
An optimized crystal structure of LaPr3Rh2. Source: Alexandria via LeMat-Bulk, functional PBE.

As for the density: 6.79 g/cm³.

The space group is C2/m (No. 12) and the conventional cell measures 17.101, 4.276 and 12.100 Å, with angles of 90.00, 121.96 and 90.00 degrees. Symmetry generates all atoms from La at (0.062, 0.000, 0.188), Pr at (0.063, 0.500, 0.690), Pr at (0.185, 0.000, 0.559), Pr at (0.190, 0.500, 0.065), Rh at (0.124, 0.000, 0.877) and Rh at (0.125, 0.500, 0.370).



Version Q
An optimized crystal structure of LaPr3Rh2. Source: Alexandria via LeMat-Bulk, functional PBE.

As for the density: 7.00 g/cm³.

The space group is Ibam (No. 72) and the conventional cell measures 7.023, 14.061 and 7.369 Å, with angles of 90.00, 90.00 and 90.00 degrees. Symmetry generates all atoms from La at (0.000, 0.000, 0.000), Pr at (0.000, 0.238, 0.250), Pr at (0.000, 0.500, 0.250) and Rh at (0.224, 0.367, 0.000).



Which one is the most stable? From the structures above, version P.